No. 1
The following is a PBE calculation of MgCoTeN2 after structural relaxation, from Alexandria via LeMat-Bulk.

Cell: 3.8827 3.8827 5.9632 Å, 90.00 90.00 90.00°
Closest atoms and distances in Å follow each position.
Fractional positions:
N 0.0000 0.5000 0.0000  2 Mg 1.94
N 0.5000 0.0000 0.0000  2 Mg 1.94
Mg 0.0000 0.0000 0.0000  4 N 1.94
Te 0.0000 0.0000 0.5000  4 Co 2.75, 2 Mg 2.98
Co 0.5000 0.5000 0.5000  4 Te 2.75

No. 2
The following is a PBE calculation of MgCoTeN2 after structural relaxation, from Alexandria via LeMat-Bulk.

Cell: 3.7829 3.7829 5.3907 Å, 90.00 90.00 90.00°
Closest atoms and distances in Å follow each position.
Fractional positions:
Te 0.0000 0.0000 0.5000  4 Mg 2.67, 2 Co 2.70
Co 0.0000 0.0000 0.0000  4 N 1.89
Mg 0.5000 0.5000 0.5000  4 Te 2.67
N 0.5000 0.0000 0.0000  2 Co 1.89
N 0.0000 0.5000 0.0000  2 Co 1.89

No. 3
The following is a PBE calculation of MgCoTe2N after structural relaxation, from Alexandria via LeMat-Bulk.

Cell: 5.2679 4.6217 5.2679 Å, 90.00 90.00 90.00°
Closest atoms and distances in Å follow each position.
Fractional positions:
Te 0.0000 0.0000 0.5000  2 Mg 2.63
Te 0.5000 0.0000 0.0000  2 Mg 2.63
N 0.5000 0.5000 0.5000  8 Te 3.50, 4 Co 3.72
Mg 0.0000 0.0000 0.0000  2 Co 2.31
Co 0.0000 0.5000 0.0000  2 Mg 2.31

No. 4
The following is a PBE calculation of MgCoTe2N after structural relaxation, from Alexandria via LeMat-Bulk.

Cell: 5.5393 5.5393 3.8180 Å, 90.00 90.00 90.00°
Closest atoms and distances in Å follow each position.
Fractional positions:
Te 0.0000 0.5000 0.0000  2 Mg 2.77
Te 0.5000 0.0000 0.0000  2 Mg 2.77
Mg 0.0000 0.0000 0.0000  2 N 1.91
Co 0.5000 0.5000 0.5000  8 Te 3.36
N 0.0000 0.0000 0.5000  2 Mg 1.91

No. 5
The following is a PBE calculation of MgCoTe2N after structural relaxation, from Alexandria via LeMat-Bulk.

Cell: 5.4106 5.4106 3.4216 Å, 90.00 90.00 90.00°
Closest atoms and distances in Å follow each position.
Fractional positions:
Co 0.0000 0.0000 0.0000  2 N 1.71
Te 0.0000 0.5000 0.0000  2 Co 2.71
Te 0.5000 0.0000 0.0000  2 Co 2.71
Mg 0.5000 0.5000 0.5000  8 Te 3.20, 2 Mg 3.42
N 0.0000 0.0000 0.5000  2 Co 1.71

No. 6
The following is a PBE calculation of Mg2CoWN after structural relaxation, from Alexandria via LeMat-Bulk.

Cell: 4.5827 4.3400 4.5827 Å, 90.00 90.00 90.00°
Closest atoms and distances in Å follow each position.
Fractional positions:
Co 0.0000 0.0000 0.0000  2 W 2.17, 4 Mg 2.29
Mg 0.0000 0.0000 0.5000  2 Co 2.29
Mg 0.5000 0.0000 0.0000  2 Co 2.29
N 0.5000 0.5000 0.5000  8 Mg 3.16, 4 W 3.24
W 0.0000 0.5000 0.0000  2 Co 2.17

No. 7
The following is a PBE calculation of Mg2CoWN4 after structural relaxation, from Alexandria via LeMat-Bulk.

Cell: 4.6440 4.6440 5.7396 Å, 113.86 113.86 90.00°
Closest atoms and distances in Å follow each position.
Fractional positions:
W 0.5000 0.5000 0.0001  4 N 1.89
N 0.8516 0.3745 0.2261  1 W 1.89, 1 Co 2.02, 2 Mg 2.09
N 0.6256 0.6256 0.7741  1 W 1.89, 1 Co 2.02, 2 Mg 2.09
N 0.1485 0.1485 0.7741  1 W 1.89, 1 Co 2.02, 2 Mg 2.09
N 0.3745 0.8516 0.2261  1 W 1.89, 1 Co 2.02, 2 Mg 2.09
Co 0.0000 0.0000 0.0000  4 N 2.02
Mg 0.2500 0.7500 0.5001  4 N 2.09
Mg 0.7500 0.2500 0.5001  4 N 2.09

No. 8
The following is a PBE calculation of MgCo2WN after structural relaxation, from Alexandria via LeMat-Bulk.

Cell: 4.1232 4.8346 4.1232 Å, 90.00 90.00 90.00°
Closest atoms and distances in Å follow each position.
Fractional positions:
Co 0.0000 0.0000 0.5000  2 Mg 2.06
Co 0.5000 0.0000 0.0000  2 Mg 2.06
N 0.5000 0.5000 0.5000  4 W 2.92, 8 Co 3.18
Mg 0.0000 0.0000 0.0000  4 Co 2.06
W 0.0000 0.5000 0.0000  2 Mg 2.42

No. 9
The following is a PBE calculation of Y2MgCoN after structural relaxation, from Alexandria via LeMat-Bulk.

Cell: 4.9839 4.9839 3.7319 Å, 90.00 90.00 90.00°
Closest atoms and distances in Å follow each position.
Fractional positions:
N 0.0000 0.0000 0.0000  2 Co 1.87
Y 0.5000 0.0000 0.0000  2 N 2.49
Y 0.0000 0.5000 0.0000  2 N 2.49
Co 0.0000 0.0000 0.5000  2 N 1.87
Mg 0.5000 0.5000 0.5000  8 Y 3.11

No. 10
The following is a PBE calculation of NaMg14Co after structural relaxation, from Alexandria via LeMat-Bulk.

Cell: 6.3206 6.3206 10.1751 Å, 90.00 90.00 119.78°
Closest atoms and distances in Å follow each position.
Fractional positions:
Na 0.3274 0.6726 0.5000  10 Mg 3.08-3.19, 2 Co 3.18
Mg 0.8365 0.6823 0.5000  1 Co 2.96, 8 Mg 3.00-3.29, 2 Na 3.13-3.19
Mg 0.3367 0.1710 0.0000  12 Mg 3.09-3.34
Mg 0.1553 0.3259 0.2623  1 Co 2.96, 10 Mg 3.00-3.29, 1 Na 3.08
Mg 0.6741 0.8447 0.2623  1 Co 2.96, 10 Mg 3.00-3.29, 1 Na 3.08
Mg 0.6741 0.8447 0.7377  1 Co 2.96, 10 Mg 3.00-3.29, 1 Na 3.08
Mg 0.1553 0.3259 0.7377  1 Co 2.96, 10 Mg 3.00-3.29, 1 Na 3.08
Mg 0.8290 0.6633 0.0000  12 Mg 3.09-3.34
Mg 0.6746 0.3254 0.2731  1 Co 2.96, 9 Mg 3.03-3.29
Mg 0.1655 0.8345 0.7562  11 Mg 3.09-3.19, 1 Na 3.15
Mg 0.1655 0.8345 0.2438  11 Mg 3.09-3.19, 1 Na 3.15
Mg 0.8334 0.1666 0.0000  12 Mg 3.15-3.28
Mg 0.3177 0.1635 0.5000  1 Co 2.96, 8 Mg 3.00-3.29, 2 Na 3.13-3.19
Mg 0.3357 0.6643 0.0000  12 Mg 3.10-3.25
Mg 0.6746 0.3254 0.7269  1 Co 2.96, 9 Mg 3.03-3.29
Co 0.8447 0.1553 0.5000  8 Mg 2.96, 2 Na 3.18

No. 11
The following is a PBE calculation of NaMgCo3 after structural relaxation, from Alexandria via LeMat-Bulk.

Cell: 4.5734 4.5734 4.5734 Å, 90.00 90.00 90.00°
Closest atoms and distances in Å follow each position.
Fractional positions:
Co 0.5000 0.0000 0.0000  2 Mg 2.29
Co 0.0000 0.5000 0.0000  2 Mg 2.29
Co 0.0000 0.0000 0.5000  2 Mg 2.29
Na 0.5000 0.5000 0.5000  12 Co 3.23
Mg 0.0000 0.0000 0.0000  6 Co 2.29

No. 12
The following is a PBE calculation of NaMg2Co after structural relaxation, from Alexandria via LeMat-Bulk.

Cell: 4.2922 4.2922 9.9937 Å, 77.60 77.60 90.00°
Closest atoms and distances in Å follow each position.
Fractional positions:
Mg 0.0906 0.6250 0.2500  2 Co 2.77, 2 Mg 2.83, 2 Na 2.88
Mg 0.8750 0.9094 0.7500  2 Co 2.77, 2 Mg 2.83, 2 Na 2.88
Mg 0.6594 0.1250 0.2500  2 Co 2.77, 2 Mg 2.83, 2 Na 2.88
Mg 0.3750 0.3406 0.7500  2 Co 2.77, 2 Mg 2.83, 2 Na 2.88
Co 0.0000 0.0000 0.0000  4 Mg 2.77, 4 Na 3.04
Co 0.7500 0.2500 0.5000  4 Mg 2.77, 4 Na 3.04
Na 0.5000 0.5000 0.0000  4 Mg 2.88, 4 Co 3.04
Na 0.2500 0.7500 0.5000  4 Mg 2.88, 4 Co 3.04

No. 13
The following is a PBE calculation of NaMg2Co after structural relaxation, from Alexandria via LeMat-Bulk.

Cell: 4.6948 4.6948 4.6948 Å, 60.00 60.00 60.00°
Closest atoms and distances in Å follow each position.
Fractional positions:
Co 0.5000 0.5000 0.5000  8 Mg 2.87
Na 0.0000 0.0000 0.0000  8 Mg 2.87
Mg 0.7500 0.7500 0.7500  4 Co 2.87, 4 Na 2.87
Mg 0.2500 0.2500 0.2500  4 Co 2.87, 4 Na 2.87

| no. | total DFT energy (no corrections) (eV per atom) |
| --- | --- |
| 1 | -4.095 |
| 2 | -4.882 |
| 3 | -2.702 |
| 4 | -3.580 |
| 5 | -4.585 |
| 6 | -4.718 |
| 7 | -7.525 |
| 8 | -4.474 |
| 9 | -6.516 |
| 10 | -1.829 |
| 11 | -3.450 |
| 12 | -2.241 |
| 13 | -2.556 |